# 1
Material: Tl2CrSnOs
Method: DFT, PBE-GGA
State: optimized geometry

abc: 5.3226 5.3226 5.1140
angles: 90.00 90.00 90.00
Fractional coordinates of all 5 atoms:
Cr: 0.5000 0.5000 0.5000
Tl: 0.0000 0.5000 0.0000
Tl: 0.5000 0.0000 0.0000
Os: 0.0000 0.0000 0.0000
Sn: 0.0000 0.0000 0.5000

The formation energy is 0.8105 eV/atom. The crystal system is tetragonal. As for the symmetry: P4/mmm.



# 2
Material: Nb2AlBr
Method: DFT, PBE-GGA
State: optimized geometry

abc: 4.6636 4.6636 4.6636
angles: 60.00 60.00 60.00
Fractional coordinates of all 4 atoms:
Nb: 0.2500 0.2500 0.2500
Nb: 0.7500 0.7500 0.7500
Al: 0.0000 0.0000 0.0000
Br: 0.5000 0.5000 0.5000

As for the uncorrected formation energy: 0.397 eV/atom. The crystal system is cubic. As for the symmetry: Fm-3m.



# 3
Material: AsP2Rh
Method: DFT, PBE-GGA
State: optimized geometry

abc: 5.6665 5.6665 5.6665
angles: 151.20 132.47 56.53
Fractional coordinates of all 4 atoms:
As: 0.2500 0.7500 0.5000
P: 0.9537 0.9537 0.0000
P: 0.5463 0.5463 0.0000
Rh: 0.7500 0.2500 0.5000

The formation energy is 0.2287 eV/atom. The crystal system is orthorhombic. As for the symmetry: Immm.



# 4
Material: Pm4Dy2HoSc
Method: DFT, PBE-GGA
State: optimized geometry

abc: 5.0758 5.0628 11.1300
angles: 62.94 90.00 90.00
Fractional coordinates of all 8 atoms:
Pm: 0.0000 0.7548 0.7451
Pm: 0.0000 0.2452 0.2549
Pm: 0.5000 0.7456 0.2546
Pm: 0.5000 0.2544 0.7454
Dy: 0.0000 0.0000 0.0000
Dy: 0.5000 0.0000 0.5000
Ho: 0.5000 0.5000 0.0000
Sc: 0.0000 0.5000 0.5000

The formation energy is 0.0282 eV/atom. The crystal system is orthorhombic. As for the symmetry: Pmmm.



# 5
Material: LaSc2Ru
Method: DFT, PBE-GGA
State: optimized geometry

abc: 3.8516 3.4172 7.7771
angles: 71.12 90.00 90.00
Fractional coordinates of all 4 atoms:
La: 0.0000 0.5610 0.5336
Ru: 0.5000 0.6297 0.8220
Sc: 0.0000 0.9992 0.9481
Sc: 0.5000 0.3101 0.1963

The formation energy is -0.1179 eV/atom. The crystal system is monoclinic. As for the symmetry: Pm.



# 6
Material: HfScNbRe2
Method: DFT, PBE-GGA
State: optimized geometry

abc: 4.8140 4.8798 4.8140
angles: 90.00 90.00 90.00
Fractional coordinates of all 5 atoms:
Sc: 0.5000 0.5000 0.5000
Re: 0.0000 0.0000 0.5000
Re: 0.5000 0.0000 0.0000
Nb: 0.0000 0.0000 0.0000
Hf: 0.0000 0.5000 0.0000

The formation energy is 1.3733 eV/atom. The crystal system is tetragonal. As for the symmetry: P4/mmm.



# 7
Material: Na10B17C3
Method: DFT, PBE-GGA
State: optimized geometry

abc: 2.9627 2.9627 42.9953
angles: 90.00 90.00 120.00
Fractional coordinates of all 30 atoms:
Na: 0.0000 0.0000 0.9966
Na: 0.0000 0.0000 0.0975
Na: 0.0000 0.0000 0.1987
Na: 0.0000 0.0000 0.2996
Na: 0.0000 0.0000 0.4004
Na: 0.0000 0.0000 0.5013
Na: 0.0000 0.0000 0.6025
Na: 0.0000 0.0000 0.7034
Na: 0.0000 0.0000 0.8013
Na: 0.0000 0.0000 0.8987
B: 0.3333 0.6667 0.0470
B: 0.6667 0.3333 0.1482
B: 0.3333 0.6667 0.1482
B: 0.6667 0.3333 0.0470
B: 0.3333 0.6667 0.2491
B: 0.6667 0.3333 0.3500
B: 0.3333 0.6667 0.3500
B: 0.6667 0.3333 0.2491
B: 0.3333 0.6667 0.4509
B: 0.6667 0.3333 0.5518
B: 0.3333 0.6667 0.5518
B: 0.6667 0.3333 0.4509
B: 0.3333 0.6667 0.6530
B: 0.3333 0.6667 0.7525
B: 0.6667 0.3333 0.6530
B: 0.3333 0.6667 0.9475
B: 0.6667 0.3333 0.8500
C: 0.6667 0.3333 0.7525
C: 0.3333 0.6667 0.8500
C: 0.6667 0.3333 0.9475

The formation energy is 0.2495 eV/atom. The crystal system is hexagonal. As for the symmetry: P-6m2.



# 8
Material: BaSeCl
Method: DFT, PBE-GGA
State: optimized geometry

abc: 6.8042 7.9146 8.0231
angles: 94.82 90.00 90.00
Fractional coordinates of all 12 atoms:
Ba: 0.4998 0.2610 0.7303
Ba: 0.9998 0.2390 0.2697
Ba: 0.5002 0.7390 0.2697
Ba: 0.0002 0.7610 0.7303
Se: 0.8225 0.5006 0.0001
Se: 0.6775 0.0006 0.0001
Se: 0.1775 0.4994 0.9999
Se: 0.3225 0.9994 0.9999
Cl: 0.2471 0.0001 0.4997
Cl: 0.2529 0.5001 0.4997
Cl: 0.7529 0.9999 0.5003
Cl: 0.7471 0.4999 0.5003

As for the uncorrected formation energy: -1.875 eV/atom. The crystal system is monoclinic. As for the symmetry: P2_1/c.



# 9
Material: Li2PPb
Method: DFT, PBE-GGA
State: optimized geometry

abc: 5.8273 5.8273 5.8273
angles: 42.20 42.20 42.20
Fractional coordinates of all 4 atoms:
Li: 0.0440 0.0440 0.0440
Li: 0.7883 0.7883 0.7883
P: 0.4218 0.4218 0.4218
Pb: 0.2459 0.2459 0.2459

The formation energy is -0.3237 eV/atom. The crystal system is trigonal. As for the symmetry: R3m.



# 10
Material: Rb2ScInO4
Method: DFT, PBE-GGA
State: optimized geometry

abc: 6.0904 6.0902 6.1155
angles: 119.86 119.87 90.00
Fractional coordinates of all 8 atoms:
Rb: 0.4859 0.9859 0.9718
Rb: 0.2359 0.2359 0.4718
Sc: 0.9859 0.4859 0.9717
In: 0.7359 0.7359 0.4717
O: 0.7297 0.6060 0.7263
O: 0.8657 0.4751 0.2171
O: 0.3515 0.7421 0.2172
O: 0.9966 0.1203 0.7264

As for the uncorrected formation energy: -2.088 eV/atom. The crystal system is tetragonal. As for the symmetry: I-4.



| no. | raw total energy (eV for the cell shown) |
| --- | --- |
| 1 | -25.536 |
| 2 | -23.965 |
| 3 | -21.906 |
| 4 | -38.890 |
| 5 | -27.338 |
| 6 | -44.384 |
| 7 | -146.893 |
| 8 | -51.513 |
| 9 | -14.241 |
| 10 | -47.539 |